Version one
Ac2SbPb | PBE | relaxed

Crystal system = trigonal
V = 39.87 Å³/atom
Symmetry = R-3m, No. 166

Unit cell a=8.797 b=8.797 c=8.797 alpha=30.93 beta=30.93 gamma=30.93
Element x y z (fractional)
1 Ac 0.246 0.246 0.246
2 Ac 0.754 0.754 0.754
3 Sb 0.500 0.500 0.500
4 Pb 0.000 0.000 0.000

Version two
Ac2SbPb | PBE | relaxed

Crystal system = orthorhombic
V = 38.46 Å³/atom
Symmetry = Cmcm, No. 63

Unit cell a=13.422 b=13.422 c=4.752 alpha=90.00 beta=90.00 gamma=158.94
Element x y z (fractional)
1 Ac 0.065 0.935 0.750
2 Ac 0.314 0.686 0.750
3 Ac 0.686 0.314 0.250
4 Ac 0.935 0.065 0.250
5 Sb 0.188 0.812 0.750
6 Sb 0.812 0.188 0.250
7 Pb 0.456 0.544 0.750
8 Pb 0.544 0.456 0.250

Last place for stability: version one